The following is a DFT calculation (GGA-PBE) of AlTl2Ir after structural relaxation.

a b c (Å): 4.072 4.183 5.493
angles (deg): 67.95 90.00 90.00
Positions (direct):
Tl1 0.000 0.974 0.930
Tl2 0.500 0.275 0.324
Ir1 0.500 0.560 0.753
Al1 0.000 0.691 0.493

Summary:
Volume, A^3/atom: 21.682
Space-group type: Pm, No. 6
ΔE to the lowest computed polymorph, meV/atom: 214
Density, g/cm3: 12.02
ΔH_f (0 K), meV per atom: 147
Density of states at the Fermi level, states/eV per cell: 2.9

=====

The following is a DFT calculation (GGA-PBE) of Sm4YBi5 after structural relaxation.

a b c (Å): 4.546 6.423 12.017
angles (deg): 105.50 100.90 90.00
Positions (direct):
Sm1 0.400 0.400 0.800
Sm2 0.801 0.801 0.602
Sm3 0.199 0.199 0.398
Sm4 0.600 0.600 0.200
Y1 0.000 0.000 0.000
Bi1 0.598 0.098 0.196
Bi2 0.800 0.300 0.599
Bi3 0.200 0.700 0.401
Bi4 0.000 0.500 0.000
Bi5 0.402 0.902 0.804

Summary:
Volume, A^3/atom: 33.155
Space-group type: Immm, No. 71
Density, g/cm3: 8.69
ΔH_f (0 K), meV per atom: -920
Density of states at the Fermi level, states/eV per cell: 2.1

=====

The following is a DFT calculation (GGA-PBE) of Pm2Pr7Ho3 after structural relaxation.

a b c (Å): 5.557 6.285 12.617
angles (deg): 90.30 90.00 90.00
Positions (direct):
Pm1 0.500 0.605 0.279
Pm2 0.500 0.395 0.721
Pr1 0.500 0.242 0.454
Pr2 0.500 0.758 0.546
Pr3 0.000 0.445 0.182
Pr4 0.000 0.000 0.000
Pr5 0.000 0.555 0.818
Pr6 0.500 0.918 0.829
Pr7 0.500 0.082 0.171
Ho1 0.500 0.500 0.000
Ho2 0.000 0.933 0.345
Ho3 0.000 0.067 0.655

Summary:
Volume, A^3/atom: 36.719
Space-group type: P2/m, No. 10
ΔE to the lowest computed polymorph, meV/atom: 190
Density, g/cm3: 6.67
ΔH_f (0 K), meV per atom: 280
Density of states at the Fermi level, states/eV per cell: 18.3

=====

The following is a DFT calculation (GGA-PBE) of Ac2Ga4Cu3Pd after structural relaxation.

a b c (Å): 4.443 4.443 10.187
angles (deg): 90.00 90.00 90.00
Positions (direct):
Ac1 0.500 0.000 0.252
Ac2 0.000 0.500 0.748
Ga1 0.500 0.500 0.000
Ga2 0.000 0.000 0.000
Ga3 0.500 0.000 0.624
Ga4 0.000 0.500 0.376
Cu1 0.000 0.000 0.500
Cu2 0.500 0.000 0.872
Cu3 0.000 0.500 0.128
Pd1 0.500 0.500 0.500

Summary:
Volume, A^3/atom: 20.112
Space-group type: P-4m2, No. 115
Density, g/cm3: 8.50
ΔH_f (0 K), meV per atom: -492
Density of states at the Fermi level, states/eV per cell: 6.4

=====

The following is a DFT calculation (GGA-PBE) of Pm3AsC after structural relaxation.

a b c (Å): 4.969 4.969 4.969
angles (deg): 90.00 90.00 90.00
Positions (direct):
As1 0.500 0.500 0.500
C1 0.000 0.000 0.000
Pm1 0.000 0.500 0.000
Pm2 0.000 0.000 0.500
Pm3 0.500 0.000 0.000

Summary:
Volume, A^3/atom: 24.533
Space-group type: Pm-3m, No. 221
ΔE to the lowest computed polymorph, meV/atom: 231
Density, g/cm3: 7.07
ΔH_f (0 K), meV per atom: -452
Density of states at the Fermi level, states/eV per cell: 2.1

=====

The following is a DFT calculation (GGA-PBE) of Dy4SN3 after structural relaxation.

a b c (Å): 3.546 3.546 12.129
angles (deg): 81.59 81.59 60.00
Positions (direct):
S1 0.000 0.000 0.000
N1 0.753 0.753 0.741
N2 0.500 0.500 0.500
N3 0.247 0.247 0.259
Dy1 0.614 0.614 0.158
Dy2 0.871 0.871 0.387
Dy3 0.386 0.386 0.842
Dy4 0.129 0.129 0.613

Summary:
Volume, A^3/atom: 16.277
Space-group type: R-3m, No. 166
Density, g/cm3: 9.23
Raw formation energy, eV/atom: -1.80
Density of states at the Fermi level, states/eV per cell: 1.6

=====

Which of these has the highest density of states at the Fermi level? Pm2Pr7Ho3

=====

Number 1 is which compound? AlTl2Ir

=====

Which formula does entry 4 have? Ac2Ga4Cu3Pd

=====

Look up the volume of the second one. 33.155 A^3/atom